No. 1
A plane-wave DFT calculation with PBE was carried out for a relaxed structure of K3Ge2.

Computed properties:
electronic total energy: -2.534 eV/atom
crystal system: orthorhombic
space group: No. 43

Cell: 13.4595 6.9418 14.8463 Å, 64.90 27.84 87.26°
Closest atoms and distances in Å follow each position.
Atoms (fractional coordinates):
K  0.0000  0.0000  0.0000  6 Ge 3.59-3.77
K  0.0379  0.5053  0.6748  4 Ge 3.46-3.79, 2 K 3.61
K  0.2500  0.2500  0.2500  6 Ge 3.59-3.77
K  0.4680  0.5752  0.7447  4 Ge 3.46-3.79, 2 K 3.61
K  0.5053  0.0379  0.7820  4 Ge 3.46-3.79, 2 K 3.61
K  0.5752  0.4680  0.2121  4 Ge 3.46-3.79, 2 K 3.61
Ge  0.2795  0.7634  0.6747  2 Ge 2.57
Ge  0.5753  0.9676  0.9705  2 Ge 2.57
Ge  0.7634  0.2795  0.2824  2 Ge 2.57
Ge  0.9676  0.5753  0.4866  2 Ge 2.57



No. 2
A plane-wave DFT calculation with PBE was carried out for a relaxed structure of K2Ge.

Computed properties:
electronic total energy: -2.343 eV/atom
crystal system: monoclinic
energy relative to the lowest polymorph listed for this composition: 1.0 kJ per mole of atoms
space group: No. 4

Cell: 5.4095 4.1776 12.1980 Å, 90.00 102.88 90.00°
Closest atoms and distances in Å follow each position.
Atoms (fractional coordinates):
K  0.0717  0.0000  0.1425  6 Ge 3.55-3.64
K  0.3160  0.0029  0.6324  1 Ge 3.64
K  0.6840  0.5029  0.3676  1 Ge 3.64
K  0.9283  0.5000  0.8575  6 Ge 3.55-3.64
Ge  0.4683  0.9992  0.9387  2 Ge 2.55
Ge  0.5317  0.4992  0.0613  2 Ge 2.55



No. 3
A plane-wave DFT calculation with PBE was carried out for a relaxed structure of K2Ge.

Computed properties:
electronic total energy: -2.353 eV/atom
crystal system: triclinic
energy relative to the lowest polymorph listed for this composition: 0.0 kJ per mole of atoms
space group: No. 2

Cell: 4.1797 6.9462 9.6484 Å, 77.24 80.50 89.80°
Closest atoms and distances in Å follow each position.
Atoms (fractional coordinates):
K  0.1284  0.2962  0.3304  3 Ge 3.50-3.60
K  0.3172  0.1589  0.8309  4 Ge 3.44-3.77
K  0.6828  0.8411  0.1691  4 Ge 3.44-3.77
K  0.8716  0.7038  0.6696  3 Ge 3.50-3.60
Ge  0.2596  0.6076  0.9726  2 Ge 2.55-2.56
Ge  0.7404  0.3924  0.0274  2 Ge 2.55-2.56



No. 4
A plane-wave DFT calculation with PBE was carried out for a relaxed structure of KGe3.

Computed properties:
electronic total energy: -3.751 eV/atom
crystal system: orthorhombic
space group: No. 25

Cell: 3.9465 4.0324 6.7788 Å, 90.00 90.00 90.00°
Closest atoms and distances in Å follow each position.
Atoms (fractional coordinates):
K  0.0000  0.0000  0.0000  8 Ge 3.45-3.59
Ge  0.0000  0.5000  0.4368  6 Ge 2.69-2.82
Ge  0.5000  0.0000  0.4429  6 Ge 2.69-2.82
Ge  0.5000  0.5000  0.7062  4 Ge 2.69



What did the fourth record say?
A plane-wave DFT calculation with PBE was carried out for a relaxed structure of KGe3.

Computed properties:
electronic total energy: -3.751 eV/atom
crystal system: orthorhombic
space group: No. 25

Cell: 3.9465 4.0324 6.7788 Å, 90.00 90.00 90.00°
Closest atoms and distances in Å follow each position.
Atoms (fractional coordinates):
K  0.0000  0.0000  0.0000  8 Ge 3.45-3.59
Ge  0.0000  0.5000  0.4368  6 Ge 2.69-2.82
Ge  0.5000  0.0000  0.4429  6 Ge 2.69-2.82
Ge  0.5000  0.5000  0.7062  4 Ge 2.69



- Which value of electronic total energy does entry 1 give?
  -2.534 eV/atom